{"formula": "Li2As", "functional": "PBE", "state": "relaxed", "e_above_lowest_polymorph_ev_per_fu": 0.00, "n_ef_per_ev_cell": 4.34, "delta_e_f_ev_per_atom": -0.631, "lattice_angstrom": [[7.327, 0.000, 0.000], [-3.664, 6.346, 0.000], [0.000, 0.000, 3.054]], "species": ["As", "As", "As", "Li", "Li", "Li", "Li", "Li", "Li"], "fractional_positions": [[0.333, 0.667, 0.000], [0.667, 0.333, 0.000], [0.000, 0.000, 0.500], [0.285, 0.000, 0.000], [0.000, 0.285, 0.000], [0.715, 0.715, 0.000], [0.626, 0.000, 0.500], [0.000, 0.626, 0.500], [0.374, 0.374, 0.500]]}

***

{"formula": "La3TbSm6Er2", "functional": "PBE", "state": "relaxed", "n_ef_per_ev_cell": 18.98, "delta_e_f_ev_per_atom": 0.022, "lattice_angstrom": [[6.297, -0.004, 0.003], [-3.150, 5.453, 0.003], [-1.061, -1.837, 11.867]], "species": ["La", "La", "La", "Tb", "Sm", "Sm", "Sm", "Sm", "Sm", "Sm", "Er", "Er"], "fractional_positions": [[0.167, 0.833, 0.500], [0.833, 0.167, 0.500], [0.500, 0.500, 0.500], [0.000, 0.000, 0.000], [0.919, 0.585, 0.757], [0.747, 0.747, 0.243], [0.081, 0.415, 0.243], [0.585, 0.919, 0.757], [0.253, 0.253, 0.757], [0.415, 0.081, 0.243], [0.333, 0.667, 0.000], [0.667, 0.333, 0.000]]}